## CdFe2As (PBE)

Data for a relaxed CdFe2As crystal.

## Properties
- ΔE_f (eV/atom) = 0.1114
- total energy (eV/atom) = -5.511

Lattice parameters (Å, degrees): 3.033 3.033 7.054 90.00 90.00 90.00
Space group P4mm (No. 99)
Asymmetric unit:
Cd 0.000 0.000 0.000
Fe 0.000 0.000 0.435
Fe 0.500 0.500 0.252
As 0.500 0.500 0.618